An optimized crystal structure of Tm8Te4As3C. Source: Alexandria, functional PBE.

Formation energy from raw total energies: -124 kJ/mol of atoms
Space-group type: No. 166
Total magnetic moment: 0.000 μB/atom
Total energy: -5.753 eV/atom

abc: 8.375 8.375 8.375
angles: 58.18 58.18 58.18
Atoms (fractional coordinates):
Tm (0.239, 0.239, 0.239)
Tm (0.263, 0.720, 0.720)
Tm (0.280, 0.280, 0.737)
Tm (0.280, 0.737, 0.280)
Tm (0.720, 0.263, 0.720)
Tm (0.720, 0.720, 0.263)
Tm (0.737, 0.280, 0.280)
Tm (0.761, 0.761, 0.761)
Te (0.000, 0.000, 0.000)
Te (0.000, 0.500, 0.500)
Te (0.500, 0.000, 0.500)
Te (0.500, 0.500, 0.000)
As (0.000, 0.000, 0.500)
As (0.000, 0.500, 0.000)
As (0.500, 0.000, 0.000)
C (0.500, 0.500, 0.500)